Entry 1:
Entry from the Alexandria database: a geometry-optimized SrSn2Au6 structure (PBE-GGA).

abc: 8.889 8.889 8.889
angles: 60.00 60.00 60.00
Fractional positions:
Sr (0.125, 0.125, 0.125)
Sr (0.875, 0.875, 0.875)
Sn (0.000, 0.500, 0.500)
Sn (0.500, 0.000, 0.500)
Sn (0.500, 0.500, 0.000)
Sn (0.500, 0.500, 0.500)
Au (0.124, 0.124, 0.626)
Au (0.124, 0.626, 0.124)
Au (0.124, 0.626, 0.626)
Au (0.374, 0.374, 0.876)
Au (0.374, 0.876, 0.374)
Au (0.374, 0.876, 0.876)
Au (0.626, 0.124, 0.124)
Au (0.626, 0.124, 0.626)
Au (0.626, 0.626, 0.124)
Au (0.876, 0.374, 0.374)
Au (0.876, 0.374, 0.876)
Au (0.876, 0.876, 0.374)

Computed properties:
energy of formation = -0.0031 eV per atom
spin magnetization = 0.0 μB per formula unit

Entry 2:
Entry from the Alexandria database: a geometry-optimized LaTl2Cl structure (PBE-GGA).

abc: 7.787 7.787 7.787
angles: 97.27 97.27 138.32
Fractional positions:
La (0.000, 0.000, 0.000)
La (0.750, 0.250, 0.500)
Tl (0.072, 0.625, 0.947)
Tl (0.375, 0.322, 0.447)
Tl (0.678, 0.125, 0.053)
Tl (0.875, 0.928, 0.553)
Cl (0.250, 0.750, 0.500)
Cl (0.500, 0.500, 0.000)

Computed properties:
E_form (uncorrected) = -2.0 eV per formula unit
spin magnetization = 0.0 μB per formula unit

We obtain polymorph energy (0 for the lowest one) values of 281.0; 294.8 meV/atom for the records listed above, in that order.